Arrangement A

Below is a relaxed structure of AgSnPd3, with properties calculated at the GGA-PBE level.

The structure in POSCAR format:
```
AgSnPd3
1.0
-3.617 -0.216 3.345
-1.032 -4.610 -1.414
3.189 -1.737 3.336
Ag Sn Pd
1 1 3
direct
0.500 0.500 0.500
0.000 0.000 0.000
0.500 0.000 0.000
0.000 0.000 0.500
0.000 0.500 0.000
```

Space-group type: No. 221

Arrangement B

Below is a relaxed structure of AgSnPd3, with properties calculated at the GGA-PBE level.

The structure in POSCAR format:
```
AgSnPd3
1.0
-0.782 3.966 -3.052
3.134 -2.312 -3.785
-6.981 -1.916 -0.713
Sn Pd Ag
2 6 2
direct
0.250 0.177 0.353
0.750 0.823 0.647
0.251 0.094 0.687
0.500 0.000 0.000
0.749 0.906 0.313
0.751 0.406 0.313
0.000 0.000 0.000
0.249 0.594 0.687
0.250 0.551 0.102
0.750 0.449 0.898
```

Space-group type: No. 15

Arrangement C

Below is a relaxed structure of AgSnPd3, with properties calculated at the GGA-PBE level.

The structure in POSCAR format:
```
AgSnPd3
1.0
5.677 0.000 0.000
0.000 8.730 0.000
0.000 0.000 7.503
Sn Pd Ag
4 12 4
direct
0.618 0.477 0.250
0.882 0.977 0.750
0.382 0.523 0.750
0.118 0.023 0.250
0.661 0.714 0.567
0.402 0.753 0.250
0.661 0.714 0.933
0.839 0.214 0.433
0.339 0.286 0.433
0.902 0.747 0.250
0.339 0.286 0.067
0.098 0.253 0.750
0.598 0.247 0.750
0.161 0.786 0.933
0.839 0.214 0.067
0.161 0.786 0.567
0.500 0.000 0.000
0.000 0.500 0.500
0.000 0.500 0.000
0.500 0.000 0.500
```

Space-group type: No. 62

Which is the most stable structure? arrangement B is the most stable.

Arrangement A

Below is a relaxed structure of Ag2SnPd4, with properties calculated at the GGA-PBE level.

The structure in POSCAR format:
```
Ag2SnPd4
1.0
4.509 0.000 0.000
2.254 3.904 0.000
2.254 1.301 7.306
Sn Pd Ag
1 4 2
direct
0.000 0.000 0.000
0.124 0.124 0.628
0.375 0.375 0.876
0.625 0.625 0.124
0.876 0.876 0.372
0.246 0.246 0.263
0.754 0.754 0.737
```

Space-group type: No. 166

Arrangement B

Below is a relaxed structure of Ag2SnPd4, with properties calculated at the GGA-PBE level.

The structure in POSCAR format:
```
Ag2SnPd4
1.0
-1.960 3.558 -3.715
-0.045 -4.996 -2.309
-3.171 0.374 4.483
Pd Ag Sn
4 2 1
direct
0.500 0.500 0.500
0.500 0.000 0.000
0.000 0.000 0.500
0.000 0.500 0.000
0.500 0.000 0.500
0.500 0.500 0.000
0.000 0.000 0.000
```

Space-group type: No. 139

Which is the most stable structure? arrangement B is the most stable.

Arrangement A

Below is a relaxed structure of SrAgPd2, with properties calculated at the GGA-PBE level.

The structure in POSCAR format:
```
SrAgPd2
1.0
4.881 0.000 0.000
2.440 4.227 0.000
2.440 1.409 3.985
Pd Sr Ag
2 1 1
direct
0.750 0.750 0.750
0.250 0.250 0.250
0.000 0.000 0.000
0.500 0.500 0.500
```

Space-group type: No. 225

Arrangement B

Below is a relaxed structure of SrAgPd2, with properties calculated at the GGA-PBE level.

The structure in POSCAR format:
```
SrAgPd2
1.0
4.689 0.000 0.042
0.000 5.782 0.000
-0.031 -2.891 3.407
Pd Ag Sr
2 1 1
direct
0.000 0.798 0.596
0.000 0.202 0.404
0.500 0.000 0.000
0.500 0.500 0.000
```

Space-group type: No. 65

Arrangement C

Below is a relaxed structure of SrAgPd2, with properties calculated at the GGA-PBE level.

The structure in POSCAR format:
```
SrAgPd2
1.0
-0.967 0.063 -3.950
2.554 -3.559 -0.682
-3.467 -2.643 0.807
Pd Sr Ag
2 1 1
direct
0.000 0.500 0.000
0.000 0.000 0.500
0.500 0.500 0.500
0.500 0.000 0.000
```

Space-group type: No. 123

Which is the most stable structure? arrangement C is the most stable.